First-principles (PBE-GGA) data for Ag7AsS6 after structural relaxation, as listed in Alexandria via LeMat-Bulk.

a b c (Å): 10.611 10.611 10.611
angles (deg): 90.00 90.00 90.00
Sites, in units of the cell vectors:
Ag 0.735 0.743 0.472
Ag 0.650 0.323 0.512
S 0.881 0.115 0.130
Ag 0.257 0.972 0.765
S 0.970 0.470 0.030
Ag 0.677 0.012 0.850
S 0.734 0.766 0.234
Ag 0.757 0.528 0.235
S 0.385 0.870 0.381
Ag 0.823 0.988 0.350
Ag 0.350 0.823 0.988
As 0.996 0.504 0.496
Ag 0.488 0.150 0.177
S 0.381 0.385 0.870
S 0.470 0.030 0.970
Ag 0.972 0.765 0.257
Ag 0.177 0.488 0.150
S 0.030 0.970 0.470
S 0.619 0.885 0.630
Ag 0.899 0.101 0.601
Ag 0.265 0.243 0.028
S 0.617 0.117 0.383
Ag 0.512 0.650 0.323
Ag 0.399 0.399 0.399
S 0.530 0.530 0.530
S 0.130 0.881 0.115
Ag 0.743 0.472 0.735
As 0.004 0.004 0.004
Ag 0.028 0.265 0.243
S 0.615 0.370 0.119
Ag 0.528 0.235 0.757
As 0.496 0.996 0.504
S 0.766 0.234 0.734
S 0.234 0.734 0.766
S 0.883 0.883 0.883
Ag 0.150 0.177 0.488
S 0.383 0.617 0.117
S 0.117 0.383 0.617
Ag 0.012 0.850 0.677
Ag 0.988 0.350 0.823
Ag 0.850 0.677 0.012
S 0.370 0.119 0.615
Ag 0.235 0.757 0.528
As 0.504 0.496 0.996
S 0.885 0.630 0.619
Ag 0.472 0.735 0.743
S 0.119 0.615 0.370
Ag 0.243 0.028 0.265
S 0.870 0.381 0.385
S 0.115 0.130 0.881
Ag 0.101 0.601 0.899
Ag 0.323 0.512 0.650
S 0.630 0.619 0.885
Ag 0.765 0.257 0.972
S 0.266 0.266 0.266
Ag 0.601 0.899 0.101

## Properties
For the size of the total moment, the calculation gives 0.000 μB/f.u. The formation energy (no corrections) is -0.83 eV per formula unit. For the total energy, the calculation gives -3.586 eV per atom.